Entry 1:
DFT (PBE-GGA) results for a relaxed LaVCl2 crystal.

## Properties
* spin magnetization: 4.072 μB per formula unit
* offset from the most stable computed form: 0 kJ/mol of formula units
* volume: 25.3 Å³/atom

```
data_LaVCl2
_chemical_formula_sum 'La4 V4 Cl8'
_cell_length_a 4.7852
_cell_length_b 4.7852
_cell_length_c 17.6832
_cell_angle_alpha 90.00
_cell_angle_beta 90.00
_cell_angle_gamma 90.00
_symmetry_space_group_name_H-M 'I -4 2 d'
_symmetry_Int_Tables_number 122
_symmetry_space_group_name_Hall 'I -4 2bw'
loop_
_atom_site_label
_atom_site_fract_x
_atom_site_fract_y
_atom_site_fract_z
_atom_site_occupancy
La1 0.0000 0.0000 0.0000 1
V1 0.0000 0.0000 0.5000 1
Cl1 0.2182 0.2500 0.6250 1
```



Entry 2:
DFT (PBE-GGA) results for a relaxed LaV3Cl crystal.

## Properties
* spin magnetization: 0.202 μB per formula unit
* offset from the most stable computed form: 674 kJ/mol of formula units
* volume: 20.5 Å³/atom

```
data_LaV3Cl
_chemical_formula_sum 'La1 V3 Cl1'
_cell_length_a 4.6809
_cell_length_b 4.6809
_cell_length_c 4.6809
_cell_angle_alpha 90.00
_cell_angle_beta 90.00
_cell_angle_gamma 90.00
_symmetry_space_group_name_H-M 'P m -3 m'
_symmetry_Int_Tables_number 221
_symmetry_space_group_name_Hall '-P 4 2 3'
loop_
_atom_site_label
_atom_site_fract_x
_atom_site_fract_y
_atom_site_fract_z
_atom_site_occupancy
La1 0.0000 0.0000 0.0000 1
V1 0.0000 0.0000 0.5000 1
Cl1 0.5000 0.5000 0.5000 1
```



Entry 3:
DFT (PBE-GGA) results for a relaxed La2V2Cl crystal.

## Properties
* spin magnetization: 0.000 μB per formula unit
* offset from the most stable computed form: 67 kJ/mol of formula units
* volume: 27.3 Å³/atom

```
data_La2V2Cl
_chemical_formula_sum 'La4 V4 Cl2'
_cell_length_a 8.4176
_cell_length_b 8.4176
_cell_length_c 3.8559
_cell_angle_alpha 90.00
_cell_angle_beta 90.00
_cell_angle_gamma 90.00
_symmetry_space_group_name_H-M 'P 4/m b m'
_symmetry_Int_Tables_number 127
_symmetry_space_group_name_Hall '-P 4 2ab'
loop_
_atom_site_label
_atom_site_fract_x
_atom_site_fract_y
_atom_site_fract_z
_atom_site_occupancy
La1 0.2022 0.2978 0.0000 1
V1 0.0778 0.5778 0.5000 1
Cl1 0.0000 0.0000 0.0000 1
```



Entry 4:
DFT (PBE-GGA) results for a relaxed LaV3Cl crystal.

## Properties
* spin magnetization: 0.092 μB per formula unit
* offset from the most stable computed form: 0 kJ/mol of formula units
* volume: 18.2 Å³/atom

```
data_LaV3Cl
_chemical_formula_sum 'La1 V3 Cl1'
_cell_length_a 4.4944
_cell_length_b 4.4944
_cell_length_c 4.4944
_cell_angle_alpha 90.00
_cell_angle_beta 90.00
_cell_angle_gamma 90.00
_symmetry_space_group_name_H-M 'P m -3 m'
_symmetry_Int_Tables_number 221
_symmetry_space_group_name_Hall '-P 4 2 3'
loop_
_atom_site_label
_atom_site_fract_x
_atom_site_fract_y
_atom_site_fract_z
_atom_site_occupancy
La1 0.0000 0.0000 0.0000 1
V1 0.0000 0.5000 0.5000 1
Cl1 0.5000 0.5000 0.5000 1
```



Entry 5:
DFT (PBE-GGA) results for a relaxed La3VCl crystal.

## Properties
* spin magnetization: 3.243 μB per formula unit
* offset from the most stable computed form: 0 kJ/mol of formula units
* volume: 32.5 Å³/atom

```
data_La3VCl
_chemical_formula_sum 'La3 V1 Cl1'
_cell_length_a 5.4563
_cell_length_b 5.4563
_cell_length_c 5.4563
_cell_angle_alpha 90.00
_cell_angle_beta 90.00
_cell_angle_gamma 90.00
_symmetry_space_group_name_H-M 'P m -3 m'
_symmetry_Int_Tables_number 221
_symmetry_space_group_name_Hall '-P 4 2 3'
loop_
_atom_site_label
_atom_site_fract_x
_atom_site_fract_y
_atom_site_fract_z
_atom_site_occupancy
La1 0.0000 0.0000 0.5000 1
V1 0.5000 0.5000 0.5000 1
Cl1 0.0000 0.0000 0.0000 1
```



Entry 6:
DFT (PBE-GGA) results for a relaxed LaVCl2 crystal.

## Properties
* spin magnetization: 4.021 μB per formula unit
* offset from the most stable computed form: 9 kJ/mol of formula units
* volume: 26.0 Å³/atom

```
data_LaVCl2
_chemical_formula_sum 'La3 V3 Cl6'
_cell_length_a 3.7002
_cell_length_b 3.7002
_cell_length_c 26.2662
_cell_angle_alpha 90.00
_cell_angle_beta 90.00
_cell_angle_gamma 120.00
_symmetry_space_group_name_H-M 'R -3 m'
_symmetry_Int_Tables_number 166
_symmetry_space_group_name_Hall '-R 3 2"'
loop_
_atom_site_label
_atom_site_fract_x
_atom_site_fract_y
_atom_site_fract_z
_atom_site_occupancy
La1 0.0000 0.0000 0.0000 1
V1 0.0000 0.0000 0.5000 1
Cl1 0.0000 0.0000 0.1154 1
```



Entry 7:
DFT (PBE-GGA) results for a relaxed La2VWCl crystal.

## Properties
* spin magnetization: 3.228 μB per formula unit
* volume: 26.4 Å³/atom

```
data_La2VWCl
_chemical_formula_sum 'La2 V1 W1 Cl1'
_cell_length_a 5.5367
_cell_length_b 5.5367
_cell_length_c 4.3028
_cell_angle_alpha 90.00
_cell_angle_beta 90.00
_cell_angle_gamma 90.00
_symmetry_space_group_name_H-M 'P 4/m m m'
_symmetry_Int_Tables_number 123
_symmetry_space_group_name_Hall '-P 4 2'
loop_
_atom_site_label
_atom_site_fract_x
_atom_site_fract_y
_atom_site_fract_z
_atom_site_occupancy
La1 0.0000 0.5000 0.0000 1
V1 0.0000 0.0000 0.0000 1
W1 0.5000 0.5000 0.5000 1
Cl1 0.0000 0.0000 0.5000 1
```



Entry 8:
DFT (PBE-GGA) results for a relaxed LaY2VCl crystal.

## Properties
* spin magnetization: 4.434 μB per formula unit
* volume: 37.7 Å³/atom

```
data_LaY2VCl
_chemical_formula_sum 'La1 Y2 V1 Cl1'
_cell_length_a 5.9886
_cell_length_b 5.9886
_cell_length_c 5.2551
_cell_angle_alpha 90.00
_cell_angle_beta 90.00
_cell_angle_gamma 90.00
_symmetry_space_group_name_H-M 'P 4/m m m'
_symmetry_Int_Tables_number 123
_symmetry_space_group_name_Hall '-P 4 2'
loop_
_atom_site_label
_atom_site_fract_x
_atom_site_fract_y
_atom_site_fract_z
_atom_site_occupancy
La1 0.0000 0.0000 0.0000 1
Y1 0.0000 0.5000 0.0000 1
V1 0.5000 0.5000 0.5000 1
Cl1 0.0000 0.0000 0.5000 1
```



Entry 9:
DFT (PBE-GGA) results for a relaxed La2WCl2 crystal.

## Properties
* spin magnetization: 0.065 μB per formula unit
* offset from the most stable computed form: 66 kJ/mol of formula units
* volume: 24.0 Å³/atom

```
data_La2WCl2
_chemical_formula_sum 'La4 W2 Cl4'
_cell_length_a 8.4323
_cell_length_b 8.4323
_cell_length_c 3.3716
_cell_angle_alpha 90.00
_cell_angle_beta 90.00
_cell_angle_gamma 90.00
_symmetry_space_group_name_H-M 'P 4/m b m'
_symmetry_Int_Tables_number 127
_symmetry_space_group_name_Hall '-P 4 2ab'
loop_
_atom_site_label
_atom_site_fract_x
_atom_site_fract_y
_atom_site_fract_z
_atom_site_occupancy
La1 0.1853 0.3147 0.0000 1
W1 0.0000 0.0000 0.0000 1
Cl1 0.1186 0.6186 0.5000 1
```



Entry 10:
DFT (PBE-GGA) results for a relaxed LaWCl2 crystal.

## Properties
* spin magnetization: 0.001 μB per formula unit
* offset from the most stable computed form: 174 kJ/mol of formula units
* volume: 21.1 Å³/atom

```
data_LaWCl2
_chemical_formula_sum 'La2 W2 Cl4'
_cell_length_a 3.1308
_cell_length_b 5.9587
_cell_length_c 9.0436
_cell_angle_alpha 90.00
_cell_angle_beta 90.00
_cell_angle_gamma 90.00
_symmetry_space_group_name_H-M 'C m m m'
_symmetry_Int_Tables_number 65
_symmetry_space_group_name_Hall '-C 2 2'
loop_
_atom_site_label
_atom_site_fract_x
_atom_site_fract_y
_atom_site_fract_z
_atom_site_occupancy
La1 0.0000 0.0000 0.0000 1
W1 0.0000 0.0000 0.5000 1
Cl1 0.0000 0.5000 0.2843 1
```



Entry 11:
DFT (PBE-GGA) results for a relaxed LaWCl2 crystal.

## Properties
* spin magnetization: 2.366 μB per formula unit
* offset from the most stable computed form: 116 kJ/mol of formula units
* volume: 24.1 Å³/atom

```
data_LaWCl2
_chemical_formula_sum 'La4 W4 Cl8'
_cell_length_a 4.6662
_cell_length_b 4.6662
_cell_length_c 17.6789
_cell_angle_alpha 90.00
_cell_angle_beta 90.00
_cell_angle_gamma 90.00
_symmetry_space_group_name_H-M 'I -4 2 d'
_symmetry_Int_Tables_number 122
_symmetry_space_group_name_Hall 'I -4 2bw'
loop_
_atom_site_label
_atom_site_fract_x
_atom_site_fract_y
_atom_site_fract_z
_atom_site_occupancy
La1 0.0000 0.0000 0.0000 1
W1 0.0000 0.0000 0.5000 1
Cl1 0.2054 0.2500 0.6250 1
```



Entry 12:
DFT (PBE-GGA) results for a relaxed La2WCl crystal.

## Properties
* spin magnetization: 0.000 μB per formula unit
* offset from the most stable computed form: 82 kJ/mol of formula units
* volume: 25.0 Å³/atom

```
data_La2WCl
_chemical_formula_sum 'La2 W1 Cl1'
_cell_length_a 5.5676
_cell_length_b 5.5676
_cell_length_c 3.2313
_cell_angle_alpha 90.00
_cell_angle_beta 90.00
_cell_angle_gamma 90.00
_symmetry_space_group_name_H-M 'P 4/m m m'
_symmetry_Int_Tables_number 123
_symmetry_space_group_name_Hall '-P 4 2'
loop_
_atom_site_label
_atom_site_fract_x
_atom_site_fract_y
_atom_site_fract_z
_atom_site_occupancy
La1 0.0000 0.5000 0.0000 1
W1 0.0000 0.0000 0.5000 1
Cl1 0.5000 0.5000 0.5000 1
```



Formation energy from raw total energies: -0.68; 1.94; -0.01; 0.54; -0.10; -0.66; 0.95; 0.94; -0.33; 0.09; -0.06; -0.14 (eV/atom)
Total energy: -5.114; -4.883; -5.995; -6.281; -5.249; -5.090; -5.804; -4.825; -5.632; -5.301; -5.450; -6.299 (eV per atom)